Entry 1:
The following is a DFT calculation (PBE) of AcMo after structural relaxation.

POSCAR file:
```
AcMo
1.0
0.0000 3.1938 3.1938
3.1938 0.0000 3.1938
3.1938 3.1938 0.0000
Mo Ac
1 1
Cartesian
1.5969 1.5969 1.5969
0.0000 0.0000 0.0000
```

excess energy over the best structure of this formula in the dataset = 954.2 meV per atom
M_tot = 1.058 μB/atom
energy relative to the elements = 2.21 eV per atom



Entry 2:
The following is a DFT calculation (PBE) of Ba2CuSiS6 after structural relaxation.

POSCAR file:
```
Ba2CuSiS6
1.0
-3.3629 4.7559 3.3629
3.3629 -4.7559 3.3629
3.3629 4.7559 -3.3629
S Ba Si Cu
6 2 1 1
Cartesian
0.0000 7.0784 0.0000
1.6422 4.7559 -1.6422
1.7207 0.0000 1.7207
1.6422 4.7559 1.6422
-1.6422 4.7559 1.6422
0.0000 2.4335 0.0000
3.3630 2.3780 0.0000
0.0000 2.3780 3.3629
0.0000 4.7559 0.0000
0.0000 0.0000 0.0000
```

total DFT energy (no corrections) = -4.590 eV per atom



Entry 3:
The following is a DFT calculation (PBE) of ThTeH2 after structural relaxation.

POSCAR file:
```
ThTeH2
1.0
-3.7885 4.8291 0.2029
2.3888 -4.0457 -3.9548
-4.7656 -3.7801 0.9884
Th H Te
2 4 2
Cartesian
-0.0494 -3.1995 -2.8685
-6.1159 0.2028 0.1050
-2.1864 1.8135 -1.0245
-3.9788 -4.8102 -1.7390
-2.2364 -3.4281 -2.1004
-3.9288 0.4314 -0.6631
-1.6905 -6.1550 -2.8735
-4.4747 3.1584 0.1100
```

total DFT energy (no corrections) = -5.105 eV per atom
M_tot = 0.000 μB/atom



Entry 4:
The following is a DFT calculation (PBE) of HfPtNO after structural relaxation.

POSCAR file:
```
HfPtNO
1.0
1.3126 0.3187 3.5167
-4.8487 0.6166 1.7538
-0.5337 -6.4174 0.7807
O N Hf Pt
2 2 2 2
Cartesian
-3.9552 -5.1068 3.9567
-1.1012 -0.2499 2.4514
-4.2448 -1.1607 1.6895
-2.0742 -4.5210 1.1838
-2.1647 -4.7788 3.2587
-4.2509 -0.4050 3.6411
-0.5952 -3.3979 0.5300
-2.9816 -2.6326 1.3514
```

excess energy over the best structure of this formula in the dataset = 0.0 meV per atom
M_tot = 0.001 μB/atom



Entry 5:
The following is a DFT calculation (PBE) of PrAs2IrPd after structural relaxation.

POSCAR file:
```
PrAs2IrPd
1.0
-0.5436 -4.1538 0.5635
4.1820 -0.5763 -0.2141
0.7238 1.3355 10.5429
As Pd Pr Ir
4 2 2 2
Cartesian
-0.0063 -1.5870 4.1493
2.5493 0.5574 6.5683
1.8192 -2.3650 0.1747
0.0000 0.0000 0.0000
-0.1722 -1.8932 1.7319
2.7152 0.8636 8.9857
2.2778 0.0566 2.6148
0.2651 -1.0862 8.1028
2.1811 -1.6973 5.4461
0.3619 0.6677 5.2714
```

excess energy over the best structure of this formula in the dataset = 85.9 meV per atom
M_tot = 0.001 μB/atom



Entry 6:
The following is a DFT calculation (PBE) of Hf4CoPbC2 after structural relaxation.

POSCAR file:
```
Hf4CoPbC2
1.0
3.2953 0.0000 0.0000
-1.6476 2.8538 0.0000
0.0000 0.0000 13.8977
Hf Pb Co C
4 1 1 2
Cartesian
1.6476 0.9513 5.0755
0.0000 1.9025 2.5058
0.0000 1.9025 11.3919
1.6476 0.9513 8.8221
1.6476 0.9513 0.0000
0.0000 1.9025 6.9488
0.0000 0.0000 10.2060
0.0000 0.0000 3.6917
```

total DFT energy (no corrections) = -9.163 eV per atom
M_tot = 0.039 μB/atom



Entry 7:
The following is a DFT calculation (PBE) of HfZnNiMo after structural relaxation.

POSCAR file:
```
HfZnNiMo
1.0
0.0000 3.1470 3.1470
3.1470 0.0000 3.1470
3.1470 3.1470 0.0000
Hf Ni Mo Zn
1 1 1 1
Cartesian
3.1470 3.1470 3.1470
4.7205 4.7205 4.7205
1.5735 1.5735 1.5735
0.0000 0.0000 0.0000
```

excess energy over the best structure of this formula in the dataset = 0.0 meV per atom
M_tot = 0.439 μB/atom
energy relative to the elements = 0.12 eV per atom



Entry 8:
The following is a DFT calculation (PBE) of YScZn2Ga2 after structural relaxation.

POSCAR file:
```
YScZn2Ga2
1.0
8.8626 0.0000 0.0000
0.0000 4.4211 0.0000
-4.3979 0.0000 12.5195
Ga Zn Y Sc
8 8 4 4
Cartesian
4.3933 0.0000 7.7758
0.0631 0.0000 7.7861
6.6579 2.2106 4.7188
2.2300 2.2106 4.7329
0.0038 0.0000 1.6272
2.1961 2.2106 10.8894
4.4380 0.0000 1.5734
-2.1405 2.2106 10.9485
2.2229 0.0000 3.2469
0.0330 2.2106 12.4344
2.1698 0.0000 9.3209
0.0075 2.2106 0.0076
0.0844 2.2106 6.2269
4.3781 2.2106 6.2158
-2.0981 0.0000 9.4226
6.6596 0.0000 3.2328
6.6333 2.2106 1.5719
2.2361 2.2106 1.5941
-2.2076 2.2106 7.7943
4.4451 0.0000 10.9103
0.0521 0.0000 10.9585
2.2363 2.2106 7.8201
0.0034 0.0000 4.7212
4.4481 0.0000 4.7035
```

total DFT energy (no corrections) = -3.953 eV per atom
M_tot = 0.000 μB/atom



no.,volume (A^3/atom)
1,32.58
2,21.51
3,18.21
4,15.86
5,19.03
6,16.34
7,15.58
8,20.44